DyAlInTe3 PBE relaxed; E_tot = -4.0528 eV per atom; SG = No. 63; magnetization = 0.0 μB per formula unit
1.0
2.196 -7.559 0.000
2.196 7.559 0.000
0.000 0.000 11.434
In Te Dy Al
2 6 2 2
direct
0.234 0.766 0.250
0.766 0.234 0.750
0.361 0.639 0.942
0.639 0.361 0.058
0.079 0.921 0.750
0.361 0.639 0.558
0.639 0.361 0.442
0.921 0.079 0.250
0.000 0.000 0.000
0.000 0.000 0.500
0.535 0.465 0.250
0.465 0.535 0.750